# 1
{"formula": "La2ZrAu", "functional": "PBE", "state": "optimized geometry", "cell": [[-5.054, -1.324, 1.355], [-3.321, 3.744, 2.021], [-4.145, 1.805, -2.948]], "species": ["Au", "Zr", "La", "La"], "fractional_positions": [[0.500, 0.500, 0.500], [0.000, 0.000, 0.000], [0.750, 0.750, 0.750], [0.250, 0.250, 0.250]], "polymorph_energy_mev_per_atom": 196}

---

# 2
{"formula": "LiAl2Cd", "functional": "PBE", "state": "optimized geometry", "cell": [[-1.581, -2.299, 1.195], [2.335, -2.751, -2.203], [3.681, -0.305, 4.283]], "species": ["Li", "Al", "Al", "Cd"], "fractional_positions": [[0.500, 0.500, 0.750], [0.000, 0.000, 0.991], [0.000, 0.000, 0.509], [0.500, 0.500, 0.250]]}

---

Energy of formation from the pure elements: -65.0, -10.8 (meV/atom)
Final energy: -5.485, -2.589 (eV per atom)